Entry from the Alexandria database: a relaxed NdEr3Tm6 crystal (PBE).

Unit cell a=10.8331 b=10.8331 c=6.1292 alpha=90.00 beta=90.00 gamma=119.89
With the nearest neighbours (Å) after each atom.
Positions (direct):
Nd 0.2097 0.7903 0.5000  3 Er 3.23-3.45, 7 Tm 3.23-3.59
Nd 0.7903 0.2097 0.0000  3 Er 3.23-3.45, 7 Tm 3.23-3.59
Er 0.0684 0.2833 0.2871  1 Nd 3.23, 6 Tm 3.23-3.58, 1 Er 3.59
Er 0.2833 0.0684 0.7871  1 Nd 3.23, 6 Tm 3.23-3.58, 1 Er 3.59
Er 0.3909 0.6091 0.4073  5 Tm 3.26-3.48, 1 Nd 3.45, 2 Er 3.59
Er 0.6091 0.3909 0.9073  5 Tm 3.26-3.48, 1 Nd 3.45, 2 Er 3.59
Er 0.7167 0.9316 0.2871  1 Nd 3.23, 6 Tm 3.23-3.58, 1 Er 3.59
Er 0.9316 0.7167 0.7871  1 Nd 3.23, 6 Tm 3.23-3.58, 1 Er 3.59
Tm 0.0312 0.4531 0.6926  2 Nd 3.23-3.38, 2 Er 3.23-3.57, 5 Tm 3.28-3.40
Tm 0.0483 0.9517 0.2476  1 Nd 3.40, 4 Er 3.50-3.58, 4 Tm 3.56-3.68
Tm 0.2865 0.3808 0.8537  4 Er 3.36-3.48, 6 Tm 3.38-3.68
Tm 0.2919 0.7081 0.9707  1 Er 3.26, 2 Nd 3.27-3.59, 6 Tm 3.28-3.59
Tm 0.3808 0.2865 0.3537  4 Er 3.36-3.48, 6 Tm 3.38-3.68
Tm 0.4531 0.0312 0.1926  2 Nd 3.23-3.38, 2 Er 3.23-3.57, 5 Tm 3.28-3.40
Tm 0.5469 0.9688 0.6926  2 Nd 3.23-3.38, 2 Er 3.23-3.57, 5 Tm 3.28-3.40
Tm 0.6192 0.7135 0.8537  4 Er 3.36-3.48, 6 Tm 3.38-3.68
Tm 0.7081 0.2919 0.4707  1 Er 3.26, 2 Nd 3.27-3.59, 6 Tm 3.28-3.59
Tm 0.7135 0.6192 0.3537  4 Er 3.36-3.48, 6 Tm 3.38-3.68
Tm 0.9517 0.0483 0.7476  1 Nd 3.40, 4 Er 3.50-3.58, 4 Tm 3.56-3.68
Tm 0.9688 0.5469 0.1926  2 Nd 3.23-3.38, 2 Er 3.23-3.57, 5 Tm 3.28-3.40

Results
The value obtained for the calculated formation energy is 0.15 eV per atom. The magnetization is 0.0003 μB per atom.


Entry from the Alexandria database: a relaxed Ca2CoSnN crystal (PBE).

Unit cell a=5.2634 b=5.2634 c=3.5639 alpha=90.00 beta=90.00 gamma=90.00
With the nearest neighbours (Å) after each atom.
Positions (direct):
Ca 0.0000 0.5000 0.0000  2 N 2.63
Ca 0.5000 0.0000 0.0000  2 N 2.63
Co 0.0000 0.0000 0.5000  2 N 1.78
Sn 0.5000 0.5000 0.5000  8 Ca 3.18
N 0.0000 0.0000 0.0000  2 Co 1.78

Results
Its formation energy without anion corrections is -0.52 eV per atom. The magnetization is 0.0228 μB per atom.


Entry from the Alexandria database: a relaxed PmZr2TiN4 crystal (PBE).

Unit cell a=5.9682 b=5.9682 c=11.4757 alpha=90.00 beta=90.00 gamma=148.24
With the nearest neighbours (Å) after each atom.
Positions (direct):
Pm 0.1055 0.8945 0.7500  6 N 2.47-2.69
Pm 0.8945 0.1055 0.2500  6 N 2.47-2.69
Zr 0.3700 0.6300 0.5365  5 N 2.16-2.42
Zr 0.3700 0.6300 0.9635  5 N 2.16-2.42
Zr 0.6300 0.3700 0.0365  5 N 2.16-2.42
Zr 0.6300 0.3700 0.4635  5 N 2.16-2.42
Ti 0.1580 0.8420 0.2500  4 N 1.93-2.01
Ti 0.8420 0.1580 0.7500  4 N 1.93-2.01
N 0.0000 0.0000 0.0000  4 Zr 2.25
N 0.0000 0.0000 0.5000  4 Zr 2.25
N 0.2627 0.7373 0.1186  1 Ti 1.93
N 0.2627 0.7373 0.3814  1 Ti 1.93
N 0.4443 0.5557 0.7500  2 Ti 2.01
N 0.5557 0.4443 0.2500  2 Ti 2.01
N 0.7373 0.2627 0.6186  1 Ti 1.93
N 0.7373 0.2627 0.8814  1 Ti 1.93

Results
Its formation energy without anion corrections is -1.44 eV per atom. The magnetization is 0.0000 μB per atom.


Entry from the Alexandria database: a relaxed TaCo2Se crystal (PBE).

Unit cell a=5.2390 b=6.5272 c=3.2517 alpha=90.00 beta=90.00 gamma=90.00
With the nearest neighbours (Å) after each atom.
Positions (direct):
Ta 0.0000 0.0000 0.0000  2 Se 2.62, 8 Co 2.65
Ta 0.5000 0.5000 0.0000  2 Se 2.62, 8 Co 2.65
Co 0.2500 0.2500 0.5000  2 Co 2.62, 4 Ta 2.65, 4 Se 2.65
Co 0.2500 0.7500 0.5000  2 Co 2.62, 4 Se 2.65, 4 Ta 2.65
Co 0.7500 0.2500 0.5000  2 Co 2.62, 4 Ta 2.65, 4 Se 2.65
Co 0.7500 0.7500 0.5000  2 Co 2.62, 4 Ta 2.65, 4 Se 2.65
Se 0.0000 0.5000 0.0000  2 Ta 2.62, 8 Co 2.65
Se 0.5000 0.0000 0.0000  2 Ta 2.62, 8 Co 2.65

Results
Its formation energy without anion corrections is 0.15 eV per atom. The magnetization is 0.0000 μB per atom.


Entry from the Alexandria database: a relaxed ZrBe2Pt crystal (PBE).

Unit cell a=4.0613 b=4.0613 c=15.6819 alpha=90.00 beta=90.00 gamma=90.00
With the nearest neighbours (Å) after each atom.
Positions (direct):
Zr 0.0000 0.2500 0.3750  4 Pt 2.87, 8 Be 3.00
Zr 0.0000 0.7500 0.6250  4 Pt 2.87, 8 Be 3.00
Zr 0.5000 0.2500 0.1250  4 Pt 2.87, 8 Be 3.00
Zr 0.5000 0.7500 0.8750  4 Pt 2.87, 8 Be 3.00
Be 0.0000 0.0000 0.0000  2 Be 2.03, 2 Pt 2.21
Be 0.0000 0.5000 0.0000  2 Be 2.03, 2 Pt 2.21
Be 0.2500 0.2500 0.7500  2 Be 2.03, 2 Pt 2.21
Be 0.2500 0.7500 0.2500  2 Be 2.03, 2 Pt 2.21
Be 0.5000 0.0000 0.5000  2 Be 2.03, 2 Pt 2.21
Be 0.5000 0.5000 0.5000  2 Be 2.03, 2 Pt 2.21
Be 0.7500 0.2500 0.7500  2 Be 2.03, 2 Pt 2.21
Be 0.7500 0.7500 0.2500  2 Be 2.03, 2 Pt 2.21
Pt 0.0000 0.2500 0.8750  4 Be 2.21
Pt 0.0000 0.7500 0.1250  4 Be 2.21
Pt 0.5000 0.2500 0.6250  4 Be 2.21
Pt 0.5000 0.7500 0.3750  4 Be 2.21

Results
The value obtained for the calculated formation energy is -0.15 eV per atom. The magnetization is 0.0000 μB per atom.


Entry from the Alexandria database: a relaxed LiCa2RhF crystal (PBE).

Unit cell a=4.9028 b=4.9028 c=3.8532 alpha=90.00 beta=90.00 gamma=90.00
With the nearest neighbours (Å) after each atom.
Positions (direct):
Li 0.0000 0.0000 0.0000  2 F 1.93
Ca 0.0000 0.5000 0.5000  2 F 2.45
Ca 0.5000 0.0000 0.5000  2 F 2.45
Rh 0.5000 0.5000 0.0000  8 Ca 3.12, 4 Li 3.47
F 0.0000 0.0000 0.5000  2 Li 1.93

Results
Its formation energy without anion corrections is -1.25 eV per atom. The magnetization is 0.0000 μB per atom.


Entry from the Alexandria database: a relaxed NaZnIn4 crystal (PBE).

Unit cell a=6.1688 b=6.1688 c=6.1688 alpha=60.00 beta=60.00 gamma=60.00
With the nearest neighbours (Å) after each atom.
Positions (direct):
Na 0.0000 0.0000 0.0000  12 In 3.62, 4 Zn 3.78
Zn 0.7500 0.7500 0.7500  12 In 3.62, 4 Na 3.78
In 0.3753 0.3753 0.3753  6 In 3.08-3.09
In 0.3753 0.3753 0.8741  6 In 3.08-3.09
In 0.3753 0.8741 0.3753  6 In 3.08-3.09
In 0.8741 0.3753 0.3753  6 In 3.08-3.09

Results
The value obtained for the calculated formation energy is 0.10 eV per atom. The magnetization is 0.0000 μB per atom.


Entry from the Alexandria database: a relaxed Zn2Bi2Br crystal (PBE).

Unit cell a=3.7383 b=3.7383 c=18.4954 alpha=90.00 beta=90.00 gamma=90.00
With the nearest neighbours (Å) after each atom.
Positions (direct):
Zn 0.0000 0.5000 0.2500  4 Zn 2.64
Zn 0.0000 0.5000 0.7500  4 Zn 2.64
Zn 0.5000 0.0000 0.2500  4 Zn 2.64
Zn 0.5000 0.0000 0.7500  4 Zn 2.64
Bi 0.0000 0.0000 0.1254  4 Zn 2.97
Bi 0.0000 0.0000 0.8746  4 Zn 2.97
Bi 0.5000 0.5000 0.3746  4 Zn 2.97
Bi 0.5000 0.5000 0.6254  4 Zn 2.97
Br 0.0000 0.0000 0.5000  8 Bi 3.52, 4 Br 3.74
Br 0.5000 0.5000 0.0000  8 Bi 3.52, 4 Br 3.74

Results
Its formation energy without anion corrections is -0.07 eV per atom. The magnetization is 0.0000 μB per atom.


Entry from the Alexandria database: a relaxed Ta2In2Fe crystal (PBE).

Unit cell a=6.7628 b=6.7628 c=4.1444 alpha=90.00 beta=90.00 gamma=90.00
With the nearest neighbours (Å) after each atom.
Positions (direct):
Ta 0.1580 0.3420 0.0000  6 In 2.79-2.92, 1 Ta 3.02
Ta 0.3420 0.8420 0.0000  6 In 2.79-2.92, 1 Ta 3.02
Ta 0.6580 0.1580 0.0000  6 In 2.79-2.92, 1 Ta 3.02
Ta 0.8420 0.6580 0.0000  6 In 2.79-2.92, 1 Ta 3.02
In 0.1464 0.6464 0.5000  2 Fe 2.59, 2 Ta 2.79, 1 In 2.80
In 0.3536 0.1464 0.5000  2 Fe 2.59, 2 Ta 2.79, 1 In 2.80
In 0.6464 0.8536 0.5000  2 Fe 2.59, 2 Ta 2.79, 1 In 2.80
In 0.8536 0.3536 0.5000  2 Fe 2.59, 2 Ta 2.79, 1 In 2.80
Fe 0.0000 0.0000 0.5000  4 In 2.59
Fe 0.5000 0.5000 0.5000  4 In 2.59

Results
The value obtained for the calculated formation energy is 0.60 eV per atom. The magnetization is 0.3806 μB per atom.


Entry from the Alexandria database: a relaxed Ca2Mg17Zn3 crystal (PBE).

Unit cell a=8.2440 b=8.2440 c=8.2440 alpha=83.40 beta=83.40 gamma=83.40
With the nearest neighbours (Å) after each atom.
Positions (direct):
Ca 0.1552 0.1552 0.1552  3 Zn 3.17
Ca 0.8448 0.8448 0.8448  3 Zn 3.17
Mg 0.0000 0.5000 0.5000  10 Mg 3.08-3.32
Mg 0.1646 0.1646 0.6765  1 Zn 2.67
Mg 0.1646 0.6765 0.1646  1 Zn 2.67
Mg 0.2351 0.5000 0.7649  1 Zn 2.58
Mg 0.2351 0.7649 0.5000  1 Zn 2.58
Mg 0.3235 0.8354 0.8354  1 Zn 2.67
Mg 0.3971 0.3971 0.3971  13 Mg 3.26-3.39
Mg 0.5000 0.0000 0.5000  10 Mg 3.08-3.32
Mg 0.5000 0.2351 0.7649  1 Zn 2.58
Mg 0.5000 0.5000 0.0000  10 Mg 3.08-3.32
Mg 0.5000 0.7649 0.2351  1 Zn 2.58
Mg 0.6029 0.6029 0.6029  13 Mg 3.26-3.39
Mg 0.6765 0.1646 0.1646  1 Zn 2.67
Mg 0.7649 0.2351 0.5000  1 Zn 2.58
Mg 0.7649 0.5000 0.2351  1 Zn 2.58
Mg 0.8354 0.3235 0.8354  1 Zn 2.67
Mg 0.8354 0.8354 0.3235  1 Zn 2.67
Zn 0.0000 0.0000 0.5000  4 Mg 2.58-2.67
Zn 0.0000 0.5000 0.0000  4 Mg 2.58-2.67
Zn 0.5000 0.0000 0.0000  4 Mg 2.58-2.67

Results
The value obtained for the calculated formation energy is 0.07 eV per atom. The magnetization is 0.0000 μB per atom.


Entry from the Alexandria database: a relaxed PmScBe2Pd5 crystal (PBE).

Unit cell a=4.2700 b=4.2700 c=7.9770 alpha=90.00 beta=90.00 gamma=90.00
With the nearest neighbours (Å) after each atom.
Positions (direct):
Pm 0.0000 0.0000 0.0000  12 Pd 3.01-3.02
Sc 0.0000 0.0000 0.5000  8 Pd 2.84
Be 0.5000 0.5000 0.3591  1 Be 2.25, 4 Pd 2.26
Be 0.5000 0.5000 0.6409  1 Be 2.25, 4 Pd 2.26
Pd 0.0000 0.5000 0.2656  2 Be 2.26
Pd 0.0000 0.5000 0.7344  2 Be 2.26
Pd 0.5000 0.0000 0.2656  2 Be 2.26
Pd 0.5000 0.0000 0.7344  2 Be 2.26
Pd 0.5000 0.5000 0.0000  2 Be 2.86, 8 Pd 3.01, 4 Pm 3.02

Results
The value obtained for the calculated formation energy is -0.64 eV per atom. The magnetization is 0.0000 μB per atom.


Entry from the Alexandria database: a relaxed AcZnInIr crystal (PBE).

Unit cell a=7.1534 b=7.1534 c=7.1534 alpha=90.00 beta=90.00 gamma=90.00
With the nearest neighbours (Å) after each atom.
Positions (direct):
Ac 0.0000 0.0000 0.0000  4 Ir 3.10, 4 Zn 3.10
Ac 0.0000 0.5000 0.5000  4 Ir 3.10, 4 Zn 3.10
Ac 0.5000 0.0000 0.5000  4 Ir 3.10, 4 Zn 3.10
Ac 0.5000 0.5000 0.0000  4 Ir 3.10, 4 Zn 3.10
Zn 0.2500 0.2500 0.2500  4 Ac 3.10, 4 In 3.10
Zn 0.2500 0.7500 0.7500  4 Ac 3.10, 4 In 3.10
Zn 0.7500 0.2500 0.7500  4 Ac 3.10, 4 In 3.10
Zn 0.7500 0.7500 0.2500  4 Ac 3.10, 4 In 3.10
In 0.0000 0.0000 0.5000  4 Ir 3.10, 4 Zn 3.10
In 0.0000 0.5000 0.0000  4 Ir 3.10, 4 Zn 3.10
In 0.5000 0.0000 0.0000  4 Ir 3.10, 4 Zn 3.10
In 0.5000 0.5000 0.5000  4 Ir 3.10, 4 Zn 3.10
Ir 0.2500 0.2500 0.7500  4 Ac 3.10, 4 In 3.10
Ir 0.2500 0.7500 0.2500  4 Ac 3.10, 4 In 3.10
Ir 0.7500 0.2500 0.2500  4 Ac 3.10, 4 In 3.10
Ir 0.7500 0.7500 0.7500  4 Ac 3.10, 4 In 3.10

Results
The value obtained for the calculated formation energy is -0.19 eV per atom. The magnetization is 0.0000 μB per atom.


Entry from the Alexandria database: a relaxed PmSn3Rh3 crystal (PBE).

Unit cell a=7.1643 b=7.1643 c=7.1643 alpha=69.22 beta=69.22 gamma=69.22
With the nearest neighbours (Å) after each atom.
Positions (direct):
Pm 0.1689 0.1689 0.1689  6 Rh 2.85-2.90
Pm 0.8311 0.8311 0.8311  6 Rh 2.85-2.90
Sn 0.0870 0.3813 0.6985  4 Rh 2.66-2.77
Sn 0.3015 0.9130 0.6187  4 Rh 2.66-2.77
Sn 0.3813 0.6985 0.0870  4 Rh 2.66-2.77
Sn 0.6187 0.3015 0.9130  4 Rh 2.66-2.77
Sn 0.6985 0.0870 0.3813  4 Rh 2.66-2.77
Sn 0.9130 0.6187 0.3015  4 Rh 2.66-2.77
Rh 0.1072 0.7729 0.4437  4 Sn 2.66-2.77, 2 Pm 2.85-2.90
Rh 0.2271 0.5563 0.8928  4 Sn 2.66-2.77, 2 Pm 2.85-2.90
Rh 0.4437 0.1072 0.7729  4 Sn 2.66-2.77, 2 Pm 2.85-2.90
Rh 0.5563 0.8928 0.2271  4 Sn 2.66-2.77, 2 Pm 2.85-2.90
Rh 0.7729 0.4437 0.1072  4 Sn 2.66-2.77, 2 Pm 2.85-2.90
Rh 0.8928 0.2271 0.5563  4 Sn 2.66-2.77, 2 Pm 2.85-2.90

Results
The value obtained for the calculated formation energy is -0.46 eV per atom. The magnetization is 0.0000 μB per atom.


Entry from the Alexandria database: a relaxed TiIrRh crystal (PBE).

Unit cell a=4.3227 b=4.3227 c=5.4299 alpha=90.00 beta=90.00 gamma=120.00
With the nearest neighbours (Å) after each atom.
Positions (direct):
Ti 0.3333 0.6667 0.2500  5 Rh 2.50-2.71
Ti 0.6667 0.3333 0.7500  5 Rh 2.50-2.71
Ir 0.0000 0.0000 0.0000  2 Ir 2.71, 6 Rh 2.84, 6 Ti 2.84
Ir 0.0000 0.0000 0.5000  2 Ir 2.71, 6 Rh 2.84, 6 Ti 2.84
Rh 0.3333 0.6667 0.7500  5 Ti 2.50-2.71
Rh 0.6667 0.3333 0.2500  5 Ti 2.50-2.71

Results
The value obtained for the calculated formation energy is -0.72 eV per atom. The magnetization is 0.0000 μB per atom.


Entry from the Alexandria database: a relaxed ZrGa3Pt crystal (PBE).

Unit cell a=4.7618 b=4.7618 c=4.7618 alpha=90.00 beta=90.00 gamma=90.00
With the nearest neighbours (Å) after each atom.
Positions (direct):
Zr 0.0000 0.0000 0.0000  12 Ga 3.37
Ga 0.0000 0.5000 0.5000  2 Pt 2.38
Ga 0.5000 0.0000 0.5000  2 Pt 2.38
Ga 0.5000 0.5000 0.0000  2 Pt 2.38
Pt 0.5000 0.5000 0.5000  6 Ga 2.38

Results
The value obtained for the calculated formation energy is 0.10 eV per atom. The magnetization is 0.0000 μB per atom.


Entry from the Alexandria database: a relaxed BaReAs3 crystal (PBE).

Unit cell a=5.5234 b=5.5234 c=5.5234 alpha=90.00 beta=90.00 gamma=90.00
With the nearest neighbours (Å) after each atom.
Positions (direct):
Ba 0.0000 0.0000 0.0000  6 As 2.76
Re 0.5000 0.5000 0.5000  12 As 3.91
As 0.0000 0.0000 0.5000  2 Ba 2.76
As 0.0000 0.5000 0.0000  2 Ba 2.76
As 0.5000 0.0000 0.0000  2 Ba 2.76

Results
The value obtained for the calculated formation energy is 2.59 eV per atom. The magnetization is 0.0001 μB per atom.


Entry from the Alexandria database: a relaxed DyHoPu4 crystal (PBE).

Unit cell a=6.1501 b=6.1501 c=6.1501 alpha=60.00 beta=60.00 gamma=60.00
With the nearest neighbours (Å) after each atom.
Positions (direct):
Dy 0.0000 0.0000 0.0000  12 Pu 3.61, 4 Ho 3.77
Ho 0.7500 0.7500 0.7500  12 Pu 3.61, 4 Dy 3.77
Pu 0.3750 0.3750 0.3750  6 Pu 3.07-3.08
Pu 0.3750 0.3750 0.8750  6 Pu 3.07-3.08
Pu 0.3750 0.8750 0.3750  6 Pu 3.07-3.08
Pu 0.8750 0.3750 0.3750  6 Pu 3.07-3.08

Results
The value obtained for the calculated formation energy is 0.23 eV per atom. The magnetization is 3.7509 μB per atom.